(1)
# PuTaSn (PBE, relaxed)
# - Magnetic moment: 1.9136 μB/atom
# - Electronic total energy: -9.8397 eV/atom
# - Formation energy: 21.50 kJ/mol of atoms
data_PuTaSn
_chemical_formula_sum 'Pu2 Ta2 Sn2'
_space_group_name_H-M_alt 'P -3 m 1'
_space_group_IT_number 164
_space_group_name_Hall '-P 3 2"'
_cell_length_a 5.1373
_cell_length_b 5.1373
_cell_length_c 5.8406
_cell_angle_alpha 90.00
_cell_angle_beta 90.00
_cell_angle_gamma 120.00
loop_
_atom_site_label
_atom_site_fract_x
_atom_site_fract_y
_atom_site_fract_z
Pu1 0.0000 0.0000 0.2402
Ta1 0.3333 0.6667 0.9255
Sn1 0.3333 0.6667 0.4188



(2)
# TbPuSn (PBE, relaxed)
# - Magnetic moment: 1.9128 μB/atom
# - Electronic total energy: -7.8114 eV/atom
# - Formation energy: -15.09 kJ/mol of atoms
data_TbPuSn
_chemical_formula_sum 'Tb4 Pu4 Sn4'
_space_group_name_H-M_alt 'I 4/m m m'
_space_group_IT_number 139
_space_group_name_Hall '-I 4 2'
_cell_length_a 3.9267
_cell_length_b 3.9267
_cell_length_c 23.3685
_cell_angle_alpha 90.00
_cell_angle_beta 90.00
_cell_angle_gamma 90.00
loop_
_atom_site_label
_atom_site_fract_x
_atom_site_fract_y
_atom_site_fract_z
Tb1 0.0000 0.0000 0.0759
Pu1 0.0000 0.0000 0.2140
Sn1 0.0000 0.0000 0.3559



(3)
# TbPuSn2 (PBE, relaxed)
# - Magnetic moment: 1.4937 μB/atom
# - Electronic total energy: -7.1749 eV/atom
# - Formation energy: -41.77 kJ/mol of atoms
data_TbPuSn2
_chemical_formula_sum 'Tb4 Pu4 Sn8'
_space_group_name_H-M_alt 'F m -3 m'
_space_group_IT_number 225
_space_group_name_Hall '-F 4 2 3'
_cell_length_a 7.5571
_cell_length_b 7.5571
_cell_length_c 7.5571
_cell_angle_alpha 90.00
_cell_angle_beta 90.00
_cell_angle_gamma 90.00
loop_
_atom_site_label
_atom_site_fract_x
_atom_site_fract_y
_atom_site_fract_z
Tb1 0.0000 0.0000 0.0000
Pu1 0.0000 0.0000 0.5000
Sn1 0.2500 0.2500 0.2500



(4)
# TbPuSn (PBE, relaxed)
# - Magnetic moment: 2.2651 μB/atom
# - Electronic total energy: -7.0163 eV/atom
# - Formation energy: 61.63 kJ/mol of atoms
data_TbPuSn
_chemical_formula_sum 'Tb1 Pu1 Sn1'
_space_group_name_H-M_alt 'P 4/m m m'
_space_group_IT_number 123
_space_group_name_Hall '-P 4 2'
_cell_length_a 4.2903
_cell_length_b 4.2903
_cell_length_c 5.8458
_cell_angle_alpha 90.00
_cell_angle_beta 90.00
_cell_angle_gamma 90.00
loop_
_atom_site_label
_atom_site_fract_x
_atom_site_fract_y
_atom_site_fract_z
Tb1 0.0000 0.0000 0.0000
Pu1 0.0000 0.0000 0.5000
Sn1 0.5000 0.5000 0.5000



(5)
# TbPuSn6 (PBE, relaxed)
# - Magnetic moment: 0.6949 μB/atom
# - Electronic total energy: -5.7751 eV/atom
# - Formation energy: -38.86 kJ/mol of atoms
data_TbPuSn6
_chemical_formula_sum 'Tb1 Pu1 Sn6'
_space_group_name_H-M_alt 'P 4/m m m'
_space_group_IT_number 123
_space_group_name_Hall '-P 4 2'
_cell_length_a 4.7214
_cell_length_b 4.7214
_cell_length_c 9.2653
_cell_angle_alpha 90.00
_cell_angle_beta 90.00
_cell_angle_gamma 90.00
loop_
_atom_site_label
_atom_site_fract_x
_atom_site_fract_y
_atom_site_fract_z
Tb1 0.0000 0.0000 0.0000
Pu1 0.0000 0.0000 0.5000
Sn1 0.0000 0.5000 0.2523
Sn2 0.5000 0.5000 0.0000
Sn3 0.5000 0.5000 0.5000



(6)
# TbPuSn2 (PBE, relaxed)
# - Magnetic moment: 1.4811 μB/atom
# - Electronic total energy: -7.2124 eV/atom
# - Formation energy: -45.39 kJ/mol of atoms
data_TbPuSn2
_chemical_formula_sum 'Tb2 Pu2 Sn4'
_space_group_name_H-M_alt 'A m m 2'
_space_group_IT_number 38
_space_group_name_Hall 'A 2 -2'
_cell_length_a 4.2757
_cell_length_b 4.6475
_cell_length_c 11.4881
_cell_angle_alpha 90.00
_cell_angle_beta 90.00
_cell_angle_gamma 90.00
loop_
_atom_site_label
_atom_site_fract_x
_atom_site_fract_y
_atom_site_fract_z
Tb1 0.0000 0.0000 0.0000
Pu1 0.5000 0.0000 0.7341
Sn1 0.0000 0.0000 0.2771
Sn2 0.5000 0.0000 0.4601



(7)
# TbPuSn2 (PBE, relaxed)
# - Magnetic moment: 1.5377 μB/atom
# - Electronic total energy: -7.2091 eV/atom
# - Formation energy: -45.07 kJ/mol of atoms
data_TbPuSn2
_chemical_formula_sum 'Tb1 Pu1 Sn2'
_space_group_name_H-M_alt 'P 4/m m m'
_space_group_IT_number 123
_space_group_name_Hall '-P 4 2'
_cell_length_a 3.9934
_cell_length_b 3.9934
_cell_length_c 6.7278
_cell_angle_alpha 90.00
_cell_angle_beta 90.00
_cell_angle_gamma 90.00
loop_
_atom_site_label
_atom_site_fract_x
_atom_site_fract_y
_atom_site_fract_z
Tb1 0.0000 0.0000 0.0000
Pu1 0.0000 0.0000 0.5000
Sn1 0.5000 0.5000 0.2422



(8)
# TbPuSn2 (PBE, relaxed)
# - Magnetic moment: 1.4197 μB/atom
# - Electronic total energy: -7.0642 eV/atom
# - Formation energy: -31.09 kJ/mol of atoms
data_TbPuSn2
_chemical_formula_sum 'Tb3 Pu3 Sn6'
_space_group_name_H-M_alt 'R -3 m'
_space_group_IT_number 166
_space_group_name_Hall '-R 3 2"'
_cell_length_a 3.5808
_cell_length_b 3.5808
_cell_length_c 30.3142
_cell_angle_alpha 90.00
_cell_angle_beta 90.00
_cell_angle_gamma 120.00
loop_
_atom_site_label
_atom_site_fract_x
_atom_site_fract_y
_atom_site_fract_z
Tb1 0.0000 0.0000 0.0000
Pu1 0.0000 0.0000 0.5000
Sn1 0.0000 0.0000 0.2511



(9)
# TbPuSn (PBE, relaxed)
# - Magnetic moment: 2.2000 μB/atom
# - Electronic total energy: -7.8816 eV/atom
# - Formation energy: -21.86 kJ/mol of atoms
data_TbPuSn
_chemical_formula_sum 'Tb1 Pu1 Sn1'
_space_group_name_H-M_alt 'P 3 m 1'
_space_group_IT_number 156
_space_group_name_Hall 'P 3 -2"'
_cell_length_a 5.2565
_cell_length_b 5.2565
_cell_length_c 3.4734
_cell_angle_alpha 90.00
_cell_angle_beta 90.00
_cell_angle_gamma 120.00
loop_
_atom_site_label
_atom_site_fract_x
_atom_site_fract_y
_atom_site_fract_z
Tb1 0.0000 0.0000 0.0000
Pu1 0.6667 0.3333 0.4122
Sn1 0.3333 0.6667 0.7373



(10)
# TbPuSn (PBE, relaxed)
# - Magnetic moment: 2.2033 μB/atom
# - Electronic total energy: -8.1334 eV/atom
# - Formation energy: -46.16 kJ/mol of atoms
data_TbPuSn
_chemical_formula_sum 'Tb2 Pu2 Sn2'
_space_group_name_H-M_alt 'P 63/m m c'
_space_group_IT_number 194
_space_group_name_Hall '-P 6c 2c'
_cell_length_a 5.4700
_cell_length_b 5.4700
_cell_length_c 6.3071
_cell_angle_alpha 90.00
_cell_angle_beta 90.00
_cell_angle_gamma 120.00
loop_
_atom_site_label
_atom_site_fract_x
_atom_site_fract_y
_atom_site_fract_z
Tb1 0.3333 0.6667 0.2500
Pu1 0.0000 0.0000 0.0000
Sn1 0.3333 0.6667 0.7500



(11)
# TbPuSn2 (PBE, relaxed)
# - Magnetic moment: 1.5767 μB/atom
# - Electronic total energy: -7.2295 eV/atom
# - Formation energy: -47.04 kJ/mol of atoms
data_TbPuSn2
_chemical_formula_sum 'Tb1 Pu1 Sn2'
_space_group_name_H-M_alt 'P 4/m m m'
_space_group_IT_number 123
_space_group_name_Hall '-P 4 2'
_cell_length_a 4.8678
_cell_length_b 4.8678
_cell_length_c 4.4750
_cell_angle_alpha 90.00
_cell_angle_beta 90.00
_cell_angle_gamma 90.00
loop_
_atom_site_label
_atom_site_fract_x
_atom_site_fract_y
_atom_site_fract_z
Tb1 0.0000 0.0000 0.0000
Pu1 0.5000 0.5000 0.0000
Sn1 0.0000 0.5000 0.5000



(12)
# TbPuTlSn (PBE, relaxed)
# - Magnetic moment: 1.5529 μB/atom
# - Electronic total energy: -6.6364 eV/atom
# - Formation energy: -29.29 kJ/mol of atoms
data_TbPuTlSn
_chemical_formula_sum 'Tb4 Pu4 Tl4 Sn4'
_space_group_name_H-M_alt 'F -4 3 m'
_space_group_IT_number 216
_space_group_name_Hall 'F -4 2 3'
_cell_length_a 7.6061
_cell_length_b 7.6061
_cell_length_c 7.6061
_cell_angle_alpha 90.00
_cell_angle_beta 90.00
_cell_angle_gamma 90.00
loop_
_atom_site_label
_atom_site_fract_x
_atom_site_fract_y
_atom_site_fract_z
Tb1 0.0000 0.0000 0.0000
Pu1 0.0000 0.0000 0.5000
Tl1 0.2500 0.2500 0.7500
Sn1 0.2500 0.2500 0.2500



(13)
# TbTmPuSn (PBE, relaxed)
# - Magnetic moment: 1.7212 μB/atom
# - Electronic total energy: -6.9958 eV/atom
# - Formation energy: -13.18 kJ/mol of atoms
data_TbTmPuSn
_chemical_formula_sum 'Tb4 Tm4 Pu4 Sn4'
_space_group_name_H-M_alt 'F -4 3 m'
_space_group_IT_number 216
_space_group_name_Hall 'F -4 2 3'
_cell_length_a 7.6125
_cell_length_b 7.6125
_cell_length_c 7.6125
_cell_angle_alpha 90.00
_cell_angle_beta 90.00
_cell_angle_gamma 90.00
loop_
_atom_site_label
_atom_site_fract_x
_atom_site_fract_y
_atom_site_fract_z
Tb1 0.0000 0.0000 0.0000
Tm1 0.2500 0.2500 0.2500
Pu1 0.0000 0.0000 0.5000
Sn1 0.2500 0.2500 0.7500



(14)
# TbPu2Zn2Sn2 (PBE, relaxed)
# - Magnetic moment: 1.7074 μB/atom
# - Electronic total energy: -6.5018 eV/atom
# - Formation energy: -22.95 kJ/mol of atoms
data_TbPu2Zn2Sn2
_chemical_formula_sum 'Tb3 Pu6 Zn6 Sn6'
_space_group_name_H-M_alt 'R -3 m'
_space_group_IT_number 166
_space_group_name_Hall '-R 3 2"'
_cell_length_a 4.6314
_cell_length_b 4.6314
_cell_length_c 26.9234
_cell_angle_alpha 90.00
_cell_angle_beta 90.00
_cell_angle_gamma 120.00
loop_
_atom_site_label
_atom_site_fract_x
_atom_site_fract_y
_atom_site_fract_z
Tb1 0.0000 0.0000 0.0000
Pu1 0.0000 0.0000 0.1439
Zn1 0.0000 0.0000 0.4252
Sn1 0.0000 0.0000 0.2673



(15)
# TbPuZnSn (PBE, relaxed)
# - Magnetic moment: 1.5980 μB/atom
# - Electronic total energy: -6.3922 eV/atom
# - Formation energy: -32.07 kJ/mol of atoms
data_TbPuZnSn
_chemical_formula_sum 'Tb4 Pu4 Zn4 Sn4'
_space_group_name_H-M_alt 'F -4 3 m'
_space_group_IT_number 216
_space_group_name_Hall 'F -4 2 3'
_cell_length_a 7.3987
_cell_length_b 7.3987
_cell_length_c 7.3987
_cell_angle_alpha 90.00
_cell_angle_beta 90.00
_cell_angle_gamma 90.00
loop_
_atom_site_label
_atom_site_fract_x
_atom_site_fract_y
_atom_site_fract_z
Tb1 0.0000 0.0000 0.0000
Pu1 0.0000 0.0000 0.5000
Zn1 0.2500 0.2500 0.2500
Sn1 0.2500 0.2500 0.7500



(16)
# PuTcSn (PBE, relaxed)
# - Magnetic moment: 1.3813 μB/atom
# - Electronic total energy: -9.4690 eV/atom
# - Formation energy: 9.45 kJ/mol of atoms
data_PuTcSn
_chemical_formula_sum 'Pu1 Tc1 Sn1'
_space_group_name_H-M_alt 'P -6 m 2'
_space_group_IT_number 187
_space_group_name_Hall 'P -6 2'
_cell_length_a 4.6987
_cell_length_b 4.6987
_cell_length_c 3.4342
_cell_angle_alpha 90.00
_cell_angle_beta 90.00
_cell_angle_gamma 120.00
loop_
_atom_site_label
_atom_site_fract_x
_atom_site_fract_y
_atom_site_fract_z
Pu1 0.0000 0.0000 0.0000
Tc1 0.6667 0.3333 0.5000
Sn1 0.3333 0.6667 0.5000



(17)
# PuTcSn (PBE, relaxed)
# - Magnetic moment: 0.0000 μB/atom
# - Electronic total energy: -9.4441 eV/atom
# - Formation energy: 11.85 kJ/mol of atoms
data_PuTcSn
_chemical_formula_sum 'Pu4 Tc4 Sn4'
_space_group_name_H-M_alt 'C 1 2/m 1'
_space_group_IT_number 12
_space_group_name_Hall '-C 2y'
_cell_length_a 9.8775
_cell_length_b 3.3313
_cell_length_c 7.2550
_cell_angle_alpha 90.00
_cell_angle_beta 92.30
_cell_angle_gamma 90.00
loop_
_atom_site_label
_atom_site_fract_x
_atom_site_fract_y
_atom_site_fract_z
Pu1 0.1780 0.0000 0.4420
Tc1 0.2161 0.5000 0.1322
Sn1 0.0563 0.5000 0.7928



(18)
# PuTcSn2 (PBE, relaxed)
# - Magnetic moment: 1.5367 μB/atom
# - Electronic total energy: -8.3112 eV/atom
# - Formation energy: -13.05 kJ/mol of atoms
data_PuTcSn2
_chemical_formula_sum 'Pu1 Tc1 Sn2'
_space_group_name_H-M_alt 'P 4/m m m'
_space_group_IT_number 123
_space_group_name_Hall '-P 4 2'
_cell_length_a 3.3404
_cell_length_b 3.3404
_cell_length_c 7.6667
_cell_angle_alpha 90.00
_cell_angle_beta 90.00
_cell_angle_gamma 90.00
loop_
_atom_site_label
_atom_site_fract_x
_atom_site_fract_y
_atom_site_fract_z
Pu1 0.0000 0.0000 0.0000
Tc1 0.0000 0.0000 0.5000
Sn1 0.5000 0.5000 0.2967



(19)
# PuTcSn (PBE, relaxed)
# - Magnetic moment: 1.6434 μB/atom
# - Electronic total energy: -9.7609 eV/atom
# - Formation energy: -18.72 kJ/mol of atoms
data_PuTcSn
_chemical_formula_sum 'Pu4 Tc4 Sn4'
_space_group_name_H-M_alt 'C m c m'
_space_group_IT_number 63
_space_group_name_Hall '-C 2c 2'
_cell_length_a 4.5545
_cell_length_b 11.9846
_cell_length_c 4.6300
_cell_angle_alpha 90.00
_cell_angle_beta 90.00
_cell_angle_gamma 90.00
loop_
_atom_site_label
_atom_site_fract_x
_atom_site_fract_y
_atom_site_fract_z
Pu1 0.0000 0.0968 0.2500
Tc1 0.0000 0.2455 0.7500
Sn1 0.0000 0.3819 0.2500



(20)
# PuTcSn (PBE, relaxed)
# - Magnetic moment: 1.5456 μB/atom
# - Electronic total energy: -9.6151 eV/atom
# - Formation energy: -4.65 kJ/mol of atoms
data_PuTcSn
_chemical_formula_sum 'Pu2 Tc2 Sn2'
_space_group_name_H-M_alt 'I 4 m m'
_space_group_IT_number 107
_space_group_name_Hall 'I 4 -2'
_cell_length_a 3.3131
_cell_length_b 3.3131
_cell_length_c 11.4829
_cell_angle_alpha 90.00
_cell_angle_beta 90.00
_cell_angle_gamma 90.00
loop_
_atom_site_label
_atom_site_fract_x
_atom_site_fract_y
_atom_site_fract_z
Pu1 0.0000 0.0000 0.0000
Tc1 0.0000 0.0000 0.6556
Sn1 0.0000 0.0000 0.2893